(1)
NaCuP2Cl after structural relaxation. Source: Alexandria via LeMat-Bulk, functional PBE.

Its formation energy (no corrections) is 1.2068 eV/atom. For the relative energy among the computed polymorphs, the calculation gives 1.152 eV per atom.

It has space group P4/mmm (No. 123), with a = 5.0367 Å, b = 5.0367 Å, c = 4.9022 Å, α = 90.00°, β = 90.00° and γ = 90.00°. The distinct sites, in fractional coordinates, are Na at (0.0000, 0.0000, 0.0000), Cu at (0.5000, 0.5000, 0.5000), P at (0.0000, 0.5000, 0.0000) and Cl at (0.0000, 0.0000, 0.5000).


(2)
Ni4PdAu after structural relaxation. Source: Alexandria via LeMat-Bulk, functional PBE.

The formation enthalpy at 0 K comes out at 0.06 eV/atom.

It has space group F-43m (No. 216), with a = 6.7385 Å, b = 6.7385 Å, c = 6.7385 Å, α = 90.00°, β = 90.00° and γ = 90.00°. The distinct sites, in fractional coordinates, are Ni at (0.1248, 0.1248, 0.1248), Pd at (0.2500, 0.2500, 0.7500) and Au at (0.0000, 0.0000, 0.5000).